Computed, not measured: crystalline Mo3NO9 at its relaxed geometry at the GGA+U level of DFT.

The value obtained for the energy above the most stable polymorph in this dataset is 436 meV/atom.

Cell and atoms, written as POSCAR:
```
Mo3NO9
1.0
8.254 -3.845 0.000
8.254 3.845 0.000
-0.453 0.000 6.480
Mo N O
6 2 18
direct
0.186 0.702 0.731
0.298 0.814 0.269
0.378 0.378 0.355
0.622 0.622 0.645
0.702 0.186 0.731
0.814 0.298 0.269
0.187 0.187 0.839
0.813 0.813 0.161
0.033 0.033 0.303
0.077 0.615 0.790
0.193 0.655 0.423
0.246 0.754 0.000
0.286 0.286 0.462
0.345 0.807 0.577
0.357 0.357 0.093
0.385 0.923 0.210
0.460 0.460 0.712
0.540 0.540 0.288
0.615 0.077 0.790
0.643 0.643 0.907
0.655 0.193 0.423
0.714 0.714 0.538
0.754 0.246 0.000
0.807 0.345 0.577
0.923 0.385 0.210
0.967 0.967 0.697
```